The following is a DFT calculation (PBE) of a geometry-optimized TbPrCdCu structure.

Geometry as CIF:
```
data_TbPrCdCu
_cell_length_a 7.408
_cell_length_b 7.408
_cell_length_c 7.408
_cell_angle_alpha 90.00
_cell_angle_beta 90.00
_cell_angle_gamma 90.00
_space_group_name_H-M_alt 'F -4 3 m'
_space_group_IT_number 216
_space_group_name_Hall 'F -4 2 3'
loop_
_atom_site_label
_atom_site_fract_x
_atom_site_fract_y
_atom_site_fract_z
Tb1 0.000 0.000 0.000
Pr1 0.000 0.000 0.500
Cd1 0.250 0.250 0.250
Cu1 0.250 0.250 0.750
```

Calculated values
Formation enthalpy at 0 K in eV per atom: -0.192
Calculated volume in Å³ per cell: 407

=====

The following is a DFT calculation (PBE) of a geometry-optimized BaSrCdAg structure.

Geometry as CIF:
```
data_BaSrCdAg
_cell_length_a 5.009
_cell_length_b 4.631
_cell_length_c 12.660
_cell_angle_alpha 90.00
_cell_angle_beta 90.00
_cell_angle_gamma 90.00
_space_group_name_H-M_alt 'A m m 2'
_space_group_IT_number 38
_space_group_name_Hall 'A 2 -2'
loop_
_atom_site_label
_atom_site_fract_x
_atom_site_fract_y
_atom_site_fract_z
Ba1 0.000 0.000 0.000
Sr1 0.500 0.000 0.718
Cd1 0.000 0.000 0.287
Ag1 0.500 0.000 0.419
```

Calculated values
Formation enthalpy at 0 K in eV per atom: -0.291
Calculated volume in Å³ per cell: 294

=====

The following is a DFT calculation (PBE) of a geometry-optimized Ti2GaCo structure.

Geometry as CIF:
```
data_Ti2GaCo
_cell_length_a 6.900
_cell_length_b 6.900
_cell_length_c 5.212
_cell_angle_alpha 90.00
_cell_angle_beta 90.00
_cell_angle_gamma 90.00
_space_group_name_H-M_alt 'I -4 2 d'
_space_group_IT_number 122
_space_group_name_Hall 'I -4 2bw'
loop_
_atom_site_label
_atom_site_fract_x
_atom_site_fract_y
_atom_site_fract_z
Ti1 0.204 0.750 0.125
Ga1 0.000 0.000 0.500
Co1 0.000 0.000 0.000
```

Calculated values
Formation enthalpy at 0 K in eV per atom: -0.028
Calculated volume in Å³ per cell: 248

=====

The following is a DFT calculation (PBE) of a geometry-optimized NaCeSc4Se8 structure.

Geometry as CIF:
```
data_NaCeSc4Se8
_cell_length_a 8.0527
_cell_length_b 8.0527
_cell_length_c 20.6349
_cell_angle_alpha 90.00
_cell_angle_beta 90.00
_cell_angle_gamma 120.00
_space_group_name_H-M_alt 'R 3 m'
_space_group_IT_number 160
_space_group_name_Hall 'R 3 -2"'
loop_
_atom_site_label
_atom_site_fract_x
_atom_site_fract_y
_atom_site_fract_z
Na1 0.0000 0.0000 0.0000
Ce1 0.0000 0.0000 0.6344
Sc1 0.0000 0.0000 0.2598
Sc2 0.1739 0.3477 0.4630
Se1 0.0000 0.0000 0.3899
Se2 0.0000 0.0000 0.8678
Se3 0.0197 0.5099 0.3923
Se4 0.1697 0.3394 0.2072
```

Calculated values
ΔE_f (raw) in meV per atom: -1598
Calculated volume in Å³ per cell: 1159

=====

The following is a DFT calculation (PBE) of a geometry-optimized K4Ir structure.

Geometry as CIF:
```
data_K4Ir
_cell_length_a 4.932
_cell_length_b 4.932
_cell_length_c 22.280
_cell_angle_alpha 90.00
_cell_angle_beta 90.00
_cell_angle_gamma 90.00
_space_group_name_H-M_alt 'I 4/m m m'
_space_group_IT_number 139
_space_group_name_Hall '-I 4 2'
loop_
_atom_site_label
_atom_site_fract_x
_atom_site_fract_y
_atom_site_fract_z
K1 0.000 0.000 0.073
K2 0.000 0.500 0.250
Ir1 0.000 0.000 0.500
```

Calculated values
Distance to the lowest polymorph of the same formula in kJ/mol of formula units: 176.4
Formation enthalpy at 0 K in eV per atom: 0.965
Calculated volume in Å³ per cell: 542

=====

The following is a DFT calculation (PBE) of a geometry-optimized Sr2NpCu3H12 structure.

Geometry as CIF:
```
data_Sr2NpCu3H12
_cell_length_a 6.4923
_cell_length_b 6.4923
_cell_length_c 14.9060
_cell_angle_alpha 90.00
_cell_angle_beta 90.00
_cell_angle_gamma 120.00
_space_group_name_H-M_alt 'R -3 m'
_space_group_IT_number 166
_space_group_name_Hall '-R 3 2"'
loop_
_atom_site_label
_atom_site_fract_x
_atom_site_fract_y
_atom_site_fract_z
Sr1 0.0000 0.0000 0.1115
Np1 0.0000 0.0000 0.5000
Cu1 0.0000 0.5000 0.0000
H1 0.0323 0.5161 0.8828
H2 0.0879 0.5440 0.2953
```

Calculated values
Total energy in eV per atom: -3.96
Calculated volume in Å³ per cell: 544

=====

The following is a DFT calculation (PBE) of a geometry-optimized Cd3Hg6Sb structure.

Geometry as CIF:
```
data_Cd3Hg6Sb
_cell_length_a 9.978
_cell_length_b 17.902
_cell_length_c 6.048
_cell_angle_alpha 90.00
_cell_angle_beta 90.00
_cell_angle_gamma 90.00
_space_group_name_H-M_alt 'C m c 21'
_space_group_IT_number 36
_space_group_name_Hall 'C 2c -2'
loop_
_atom_site_label
_atom_site_fract_x
_atom_site_fract_y
_atom_site_fract_z
Cd1 0.000 0.097 0.000
Cd2 0.236 0.364 0.745
Hg1 0.000 0.230 0.297
Hg2 0.000 0.442 0.996
Hg3 0.182 0.033 0.615
Hg4 0.186 0.202 0.738
Sb1 0.000 0.388 0.460
```

Calculated values
ΔE_f (raw) in meV per atom: 45
Calculated volume in Å³ per cell: 1080

=====

The following is a DFT calculation (PBE) of a geometry-optimized La2AgMo structure.

Geometry as CIF:
```
data_La2AgMo
_cell_length_a 7.511
_cell_length_b 7.519
_cell_length_c 3.649
_cell_angle_alpha 90.00
_cell_angle_beta 90.00
_cell_angle_gamma 90.00
_space_group_name_H-M_alt 'C m m m'
_space_group_IT_number 65
_space_group_name_Hall '-C 2 2'
loop_
_atom_site_label
_atom_site_fract_x
_atom_site_fract_y
_atom_site_fract_z
La1 0.250 0.250 0.000
Ag1 0.000 0.000 0.500
Mo1 0.000 0.500 0.500
```

Calculated values
Distance to the lowest polymorph of the same formula in kJ/mol of formula units: 25.4
Formation enthalpy at 0 K in eV per atom: 0.245
Calculated volume in Å³ per cell: 206